Record 1
Material: BaIr2Pt
Method: DFT, SCAN
State: PBEsol geometry

abc: 4.220 4.220 8.347
angles: 90.00 90.00 90.00
Positions (direct):
Ba 0.000 0.000 0.000
Ba 0.500 0.500 0.500
Ir 0.000 0.500 0.250
Ir 0.000 0.500 0.750
Ir 0.500 0.000 0.250
Ir 0.500 0.000 0.750
Pt 0.000 0.000 0.500
Pt 0.500 0.500 0.000

Summary:
ΔE_f   0.9014 eV per atom
Symmetry   I4/mmm (139)



Record 2
Material: BaIrPt
Method: DFT, SCAN
State: PBEsol geometry

abc: 3.580 3.580 10.887
angles: 90.00 90.00 90.00
Positions (direct):
Ba 0.000 0.000 0.000
Ba 0.500 0.500 0.500
Ir 0.000 0.000 0.726
Ir 0.500 0.500 0.226
Pt 0.000 0.000 0.278
Pt 0.500 0.500 0.778

Summary:
ΔE_f   -0.0460 eV per atom
Symmetry   I4mm (107)



Record 3
Material: RbBa3Ir
Method: DFT, SCAN
State: PBEsol geometry

abc: 6.226 6.226 6.226
angles: 90.00 90.00 90.00
Positions (direct):
Rb 0.000 0.000 0.000
Ba 0.000 0.500 0.500
Ba 0.500 0.000 0.500
Ba 0.500 0.500 0.000
Ir 0.500 0.500 0.500

Summary:
ΔE_f   -0.0421 eV per atom
Symmetry   Pm-3m (221)



Record 4
Material: RbBa2TcIr
Method: DFT, SCAN
State: PBEsol geometry

abc: 6.077 6.077 4.787
angles: 90.00 90.00 90.00
Positions (direct):
Rb 0.000 0.000 0.000
Ba 0.000 0.500 0.000
Ba 0.500 0.000 0.000
Tc 0.500 0.500 0.500
Ir 0.000 0.000 0.500

Summary:
ΔE_f   1.8325 eV per atom
Symmetry   P4/mmm (123)



Record 5
Material: BaRe2Ir
Method: DFT, SCAN
State: PBEsol geometry

abc: 8.823 3.033 6.733
angles: 90.00 101.34 90.00
Positions (direct):
Ba 0.000 0.000 0.000
Ba 0.500 0.500 0.000
Re 0.007 0.500 0.492
Re 0.288 0.500 0.381
Re 0.507 0.000 0.492
Re 0.788 0.000 0.381
Ir 0.229 0.000 0.667
Ir 0.729 0.500 0.667

Summary:
ΔE_f   0.6217 eV per atom
Symmetry   Cm (8)



Record 6
Material: BaReIr
Method: DFT, SCAN
State: PBEsol geometry

abc: 6.561 6.561 6.561
angles: 90.00 90.00 90.00
Positions (direct):
Ba 0.000 0.000 0.000
Ba 0.000 0.500 0.500
Ba 0.500 0.000 0.500
Ba 0.500 0.500 0.000
Re 0.250 0.250 0.250
Re 0.250 0.750 0.750
Re 0.750 0.250 0.750
Re 0.750 0.750 0.250
Ir 0.250 0.250 0.750
Ir 0.250 0.750 0.250
Ir 0.750 0.250 0.250
Ir 0.750 0.750 0.750

Summary:
ΔE_f   2.6333 eV per atom
Symmetry   F-43m (216)



Record 7
Material: BaReIr2
Method: DFT, SCAN
State: PBEsol geometry

abc: 4.187 4.187 4.157
angles: 90.00 90.00 90.00
Positions (direct):
Ba 0.000 0.000 0.000
Re 0.500 0.500 0.000
Ir 0.000 0.500 0.500
Ir 0.500 0.000 0.500

Summary:
ΔE_f   1.4531 eV per atom
Symmetry   P4/mmm (123)



Record 8
Material: BaRe2Ir
Method: DFT, SCAN
State: PBEsol geometry

abc: 2.806 2.806 9.410
angles: 90.00 90.00 90.00
Positions (direct):
Ba 0.000 0.000 0.000
Re 0.500 0.500 0.302
Re 0.500 0.500 0.698
Ir 0.000 0.000 0.500

Summary:
ΔE_f   0.9486 eV per atom
Symmetry   P4/mmm (123)



Record 9
Material: BaReIr2
Method: DFT, SCAN
State: PBEsol geometry

abc: 6.034 8.275 2.883
angles: 90.00 90.00 90.00
Positions (direct):
Ba 0.000 0.000 0.000
Ba 0.500 0.500 0.000
Re 0.000 0.500 0.000
Re 0.500 0.000 0.000
Ir 0.250 0.250 0.500
Ir 0.250 0.750 0.500
Ir 0.750 0.250 0.500
Ir 0.750 0.750 0.500

Summary:
ΔE_f   1.0851 eV per atom
Symmetry   Cmmm (65)



Record 10
Material: Ba2SrReIr
Method: DFT, SCAN
State: PBEsol geometry

abc: 5.956 5.956 4.706
angles: 90.00 90.00 90.00
Positions (direct):
Ba 0.000 0.500 0.000
Ba 0.500 0.000 0.000
Sr 0.000 0.000 0.000
Re 0.000 0.000 0.500
Ir 0.500 0.500 0.500

Summary:
ΔE_f   2.1627 eV per atom
Symmetry   P4/mmm (123)



Record 11
Material: BaIr3Rh
Method: DFT, SCAN
State: PBEsol geometry

abc: 4.784 4.784 4.784
angles: 90.00 90.00 90.00
Positions (direct):
Ba 0.000 0.000 0.000
Ir 0.000 0.500 0.500
Ir 0.500 0.000 0.500
Ir 0.500 0.500 0.000
Rh 0.500 0.500 0.500

Summary:
ΔE_f   1.1098 eV per atom
Symmetry   Pm-3m (221)



Record 12
Material: Ba2IrRh
Method: DFT, SCAN
State: PBEsol geometry

abc: 4.920 4.920 4.122
angles: 90.00 90.00 90.00
Positions (direct):
Ba 0.000 0.500 0.000
Ba 0.500 0.000 0.000
Ir 0.000 0.000 0.500
Rh 0.500 0.500 0.500

Summary:
ΔE_f   0.3175 eV per atom
Symmetry   P4/mmm (123)



Record 13
Material: Ba4IrRh
Method: DFT, SCAN
State: PBEsol geometry

abc: 6.428 6.428 6.428
angles: 60.00 60.00 60.00
Positions (direct):
Ba 0.125 0.125 0.125
Ba 0.125 0.125 0.625
Ba 0.125 0.625 0.125
Ba 0.625 0.125 0.125
Ir 0.500 0.500 0.500
Rh 0.750 0.750 0.750

Summary:
ΔE_f   1.1747 eV per atom
Symmetry   F-43m (216)



Record 14
Material: Ba2IrRh
Method: DFT, SCAN
State: PBEsol geometry

abc: 4.569 4.879 10.728
angles: 90.00 90.00 90.00
Positions (direct):
Ba 0.000 0.000 0.000
Ba 0.000 0.500 0.500
Ba 0.500 0.000 0.295
Ba 0.500 0.500 0.795
Ir 0.000 0.000 0.685
Ir 0.000 0.500 0.185
Rh 0.500 0.000 0.613
Rh 0.500 0.500 0.113

Summary:
ΔE_f   -0.2437 eV per atom
Symmetry   Amm2 (38)



Record 15
Material: BaIr2RuRh
Method: DFT, SCAN
State: PBEsol geometry

abc: 4.932 4.932 4.826
angles: 90.00 90.00 90.00
Positions (direct):
Ba 0.000 0.000 0.000
Ir 0.000 0.500 0.000
Ir 0.500 0.000 0.000
Ru 0.000 0.000 0.500
Rh 0.500 0.500 0.500

Summary:
ΔE_f   3.2242 eV per atom
Symmetry   P4/mmm (123)



Record 16
Material: BaIr2Ru
Method: DFT, SCAN
State: PBEsol geometry

abc: 2.863 5.134 10.132
angles: 90.00 90.00 90.00
Positions (direct):
Ba 0.000 0.000 0.000
Ba 0.500 0.500 0.500
Ir 0.000 0.000 0.496
Ir 0.000 0.500 0.218
Ir 0.500 0.000 0.718
Ir 0.500 0.500 0.996
Ru 0.000 0.500 0.782
Ru 0.500 0.000 0.282

Summary:
ΔE_f   0.8344 eV per atom
Symmetry   Imm2 (44)



Record 17
Material: BaIr2Ru
Method: DFT, SCAN
State: PBEsol geometry

abc: 4.196 4.196 8.168
angles: 90.00 90.00 90.00
Positions (direct):
Ba 0.000 0.000 0.000
Ba 0.500 0.500 0.500
Ir 0.000 0.500 0.250
Ir 0.000 0.500 0.750
Ir 0.500 0.000 0.250
Ir 0.500 0.000 0.750
Ru 0.000 0.000 0.500
Ru 0.500 0.500 0.000

Summary:
ΔE_f   1.1449 eV per atom
Symmetry   I4/mmm (139)



Record 18
Material: BaIr2Ru
Method: DFT, SCAN
State: PBEsol geometry

abc: 4.062 4.062 4.372
angles: 90.00 90.00 90.00
Positions (direct):
Ba 0.000 0.000 0.000
Ir 0.000 0.500 0.500
Ir 0.500 0.000 0.500
Ru 0.500 0.500 0.000

Summary:
ΔE_f   1.1302 eV per atom
Symmetry   P4/mmm (123)



Record 19
Material: BaIr2Ru
Method: DFT, SCAN
State: PBEsol geometry

abc: 5.790 8.584 2.878
angles: 90.00 90.00 90.00
Positions (direct):
Ba 0.000 0.000 0.000
Ba 0.500 0.500 0.000
Ir 0.250 0.250 0.500
Ir 0.250 0.750 0.500
Ir 0.750 0.250 0.500
Ir 0.750 0.750 0.500
Ru 0.000 0.500 0.000
Ru 0.500 0.000 0.000

Summary:
ΔE_f   1.0177 eV per atom
Symmetry   Cmmm (65)



Record 20
Material: BaIr2Ru
Method: DFT, SCAN
State: PBEsol geometry

abc: 6.687 6.687 6.687
angles: 90.00 90.00 90.00
Positions (direct):
Ba 0.000 0.000 0.000
Ba 0.000 0.500 0.500
Ba 0.500 0.000 0.500
Ba 0.500 0.500 0.000
Ir 0.250 0.250 0.250
Ir 0.250 0.250 0.750
Ir 0.250 0.750 0.250
Ir 0.250 0.750 0.750
Ir 0.750 0.250 0.250
Ir 0.750 0.250 0.750
Ir 0.750 0.750 0.250
Ir 0.750 0.750 0.750
Ru 0.000 0.000 0.500
Ru 0.000 0.500 0.000
Ru 0.500 0.000 0.000
Ru 0.500 0.500 0.500

Summary:
ΔE_f   1.1995 eV per atom
Symmetry   Fm-3m (225)